Entry from the Alexandria database: a relaxed CaTh2Bi2Te2 crystal (GGA-PBE).

Lattice parameters (Å, degrees): 5.817 5.817 8.831 109.23 109.23 90.00
Each line ends with the local moment (μB).
Positions (direct):
Ca1 0.000 0.000 0.000  0.00
Th1 0.386 0.386 0.772  0.06
Th2 0.614 0.614 0.228  0.06
Bi1 0.000 0.500 0.000  -0.01
Bi2 0.500 0.000 0.000  -0.01
Te1 0.198 0.198 0.395  0.00
Te2 0.802 0.802 0.605  0.00

- ρ (g/cm³) = 7.39
- symmetry = I4/mmm
- raw formation energy (kcal/mol of atoms) = -9.54

Entry from the Alexandria database: a relaxed CaTl3Bi2Te6 crystal (GGA-PBE).

Lattice parameters (Å, degrees): 7.923 7.923 8.212 99.22 99.22 119.96
Positions (direct):
Ca1 0.000 0.000 0.000
Tl1 0.167 0.833 0.500
Tl2 0.833 0.167 0.500
Tl3 0.500 0.500 0.500
Bi1 0.334 0.666 0.000
Bi2 0.666 0.334 0.000
Te1 0.924 0.588 0.772
Te2 0.740 0.740 0.227
Te3 0.076 0.412 0.228
Te4 0.588 0.924 0.772
Te5 0.260 0.260 0.773
Te6 0.412 0.076 0.228

- ρ (g/cm³) = 7.21
- symmetry = C2/m
- raw formation energy (kcal/mol of atoms) = -11.23

In the order shown, the computed total moment values come out to 0.136, 0.000 μB/f.u..